DFT (PBE-GGA) results for a relaxed structure of Sm4ZnIn.

a = 12.938 Å, b = 3.708 Å, c = 7.582 Å
α = 90.00°, β = 106.95°, γ = 90.00°
Space group C2/m (No. 12)
One atom of each set of equivalent atoms:
Sm1 0.147 0.000 0.336 [4 per cell]
Sm2 0.153 0.000 0.815 [4 per cell]
Zn1 0.000 0.500 0.500 [2 per cell]
In1 0.000 0.500 0.000 [2 per cell]

Values from the calculation:
Size of the total moment = 1.2 μB/f.u.
Polymorph energy (0 for the lowest one) = 0 meV/atom
Theoretical density = 7.5 g/cm³
Calculated formation energy = -0.234 eV per atom